Compound: NiRuBr2
Source: Alexandria via LeMat-Bulk
Functional: GGA-PBE
Structure: optimized geometry

Lattice parameters (Å, degrees): 4.2989 4.2989 5.9743 107.08 107.08 45.19
With the nearest neighbours (Å) after each atom.
Sites, in units of the cell vectors:
Ni 0.0000 0.0000 0.0000  4 Br 2.42
Ru 0.5000 0.5000 0.5000  2 Br 2.55
Br 0.2997 0.2997 0.7586  2 Ni 2.42, 1 Ru 2.55
Br 0.7003 0.7003 0.2414  2 Ni 2.42, 1 Ru 2.55

Computed properties:
- Space group: C2/m
- Density of states at the Fermi level: 4.09 states/eV per cell
- E_form (uncorrected): 0.62 eV per atom
- Polymorph energy (0 for the lowest one): 449 meV/atom
- Total moment: 1.20 μB per cell